# Ce5ReI5 PBE relaxed
# V ... 33.54 Å³/atom
# Electronic total energy ... -5.296 eV per atom
# Formation energy without anion corrections ... -0.762 eV/atom
data_Ce5ReI5
_cell_length_a 13.7176
_cell_length_b 6.2682
_cell_length_c 9.1266
_cell_angle_alpha 90.00
_cell_angle_beta 109.92
_cell_angle_gamma 90.00
_symmetry_space_group_name_H-M 'C 1 2/m 1'
_symmetry_Int_Tables_number 12
_symmetry_space_group_name_Hall '-C 2y'
loop_
_atom_site_label
_atom_site_type_symbol
_atom_site_fract_x
_atom_site_fract_y
_atom_site_fract_z
Ce1 Ce 0.0000 0.0000 0.0000
Ce2 Ce 0.1391 0.5000 0.2753
Ce3 Ce 0.1633 0.5000 0.8742
Re1 Re 0.0000 0.5000 0.0000
I1 I 0.0000 0.5000 0.5000
I2 I 0.1469 0.0000 0.7905
I3 I 0.1788 0.0000 0.3493

***

# Tb2PbCl PBE relaxed
# V ... 28.53 Å³/atom
# Electronic total energy ... -4.289 eV per atom
# Formation energy without anion corrections ... -0.585 eV/atom
data_Tb2PbCl
_cell_length_a 3.5222
_cell_length_b 3.5222
_cell_length_c 31.8633
_cell_angle_alpha 90.00
_cell_angle_beta 90.00
_cell_angle_gamma 120.00
_symmetry_space_group_name_H-M 'R -3 m'
_symmetry_Int_Tables_number 166
_symmetry_space_group_name_Hall '-R 3 2"'
loop_
_atom_site_label
_atom_site_type_symbol
_atom_site_fract_x
_atom_site_fract_y
_atom_site_fract_z
Tb1 Tb 0.0000 0.0000 0.0980
Pb1 Pb 0.0000 0.0000 0.0000
Cl1 Cl 0.0000 0.0000 0.5000

***

# CsScAgF6 PBE relaxed
# V ... 19.17 Å³/atom
# Electronic total energy ... -5.148 eV per atom
# Formation energy without anion corrections ... -2.785 eV/atom
# Energy above the most stable polymorph in this dataset ... 0 meV/atom
data_CsScAgF6
_cell_length_a 7.7034
_cell_length_b 8.0110
_cell_length_c 11.1849
_cell_angle_alpha 90.00
_cell_angle_beta 90.00
_cell_angle_gamma 90.00
_symmetry_space_group_name_H-M 'I m m a'
_symmetry_Int_Tables_number 74
_symmetry_space_group_name_Hall '-I 2b 2'
loop_
_atom_site_label
_atom_site_type_symbol
_atom_site_fract_x
_atom_site_fract_y
_atom_site_fract_z
Cs1 Cs 0.0000 0.2500 0.1452
Sc1 Sc 0.0000 0.0000 0.5000
Ag1 Ag 0.2500 0.2500 0.7500
F1 F 0.0000 0.2500 0.4674
F2 F 0.0000 0.2500 0.8183
F3 F 0.1884 0.0217 0.6257

***

# Tb3CeHg2 PBE relaxed
# V ... 32.74 Å³/atom
# Electronic total energy ... -3.430 eV per atom
# Energy of formation ... -0.15 eV/f.u.
# Energy above the most stable polymorph in this dataset ... 265 meV/atom
data_Tb3CeHg2
_cell_length_a 7.2689
_cell_length_b 14.3284
_cell_length_c 7.5454
_cell_angle_alpha 90.00
_cell_angle_beta 90.00
_cell_angle_gamma 90.00
_symmetry_space_group_name_H-M 'I b a m'
_symmetry_Int_Tables_number 72
_symmetry_space_group_name_Hall '-I 2 2c'
loop_
_atom_site_label
_atom_site_type_symbol
_atom_site_fract_x
_atom_site_fract_y
_atom_site_fract_z
Tb1 Tb 0.0000 0.0000 0.2500
Tb2 Tb 0.0000 0.2739 0.2500
Ce1 Ce 0.0000 0.5000 0.0000
Hg1 Hg 0.1941 0.1422 0.0000

***

# Ca3Si8P14 PBE relaxed
# V ... 20.73 Å³/atom
# Electronic total energy ... -5.409 eV per atom
# Formation energy without anion corrections ... -0.404 eV/atom
data_Ca3Si8P14
_cell_length_a 12.2054
_cell_length_b 13.5621
_cell_length_c 6.2619
_cell_angle_alpha 90.00
_cell_angle_beta 90.92
_cell_angle_gamma 90.00
_symmetry_space_group_name_H-M 'P 1 21/c 1'
_symmetry_Int_Tables_number 14
_symmetry_space_group_name_Hall '-P 2ybc'
loop_
_atom_site_label
_atom_site_type_symbol
_atom_site_fract_x
_atom_site_fract_y
_atom_site_fract_z
Ca1 Ca 0.0000 0.0000 0.0000
Ca2 Ca 0.3330 0.1558 0.8234
Si1 Si 0.0842 0.1873 0.4637
Si2 Si 0.1106 0.6859 0.0422
Si3 Si 0.3471 0.5462 0.8831
Si4 Si 0.3498 0.6877 0.3826
P1 P 0.1418 0.0533 0.6444
P2 P 0.1470 0.1773 0.1286
P3 P 0.1617 0.5465 0.8714
P4 P 0.1664 0.6722 0.3889
P5 P 0.4087 0.1048 0.2881
P6 P 0.4180 0.5523 0.2242
P7 P 0.4253 0.6793 0.7165

***

# MgInSe2N PBE relaxed
# V ... 22.26 Å³/atom
# Electronic total energy ... -3.519 eV per atom
# Formation energy without anion corrections ... 0.407 eV/atom
# Energy above the most stable polymorph in this dataset ... 0 meV/atom
data_MgInSe2N
_cell_length_a 5.2611
_cell_length_b 5.2611
_cell_length_c 4.0217
_cell_angle_alpha 90.00
_cell_angle_beta 90.00
_cell_angle_gamma 90.00
_symmetry_space_group_name_H-M 'P 4/m m m'
_symmetry_Int_Tables_number 123
_symmetry_space_group_name_Hall '-P 4 2'
loop_
_atom_site_label
_atom_site_type_symbol
_atom_site_fract_x
_atom_site_fract_y
_atom_site_fract_z
Mg1 Mg 0.0000 0.0000 0.0000
In1 In 0.5000 0.5000 0.5000
Se1 Se 0.0000 0.5000 0.0000
N1 N 0.0000 0.0000 0.5000

***

# Ga3RhN PBE relaxed
# V ... 21.68 Å³/atom
# Electronic total energy ... -4.283 eV per atom
# Formation energy without anion corrections ... 0.668 eV/atom
# Energy above the most stable polymorph in this dataset ... 330 meV/atom
data_Ga3RhN
_cell_length_a 4.7681
_cell_length_b 4.7681
_cell_length_c 4.7681
_cell_angle_alpha 90.00
_cell_angle_beta 90.00
_cell_angle_gamma 90.00
_symmetry_space_group_name_H-M 'P m -3 m'
_symmetry_Int_Tables_number 221
_symmetry_space_group_name_Hall '-P 4 2 3'
loop_
_atom_site_label
_atom_site_type_symbol
_atom_site_fract_x
_atom_site_fract_y
_atom_site_fract_z
Ga1 Ga 0.0000 0.0000 0.5000
Rh1 Rh 0.0000 0.0000 0.0000
N1 N 0.5000 0.5000 0.5000

***

# Ga5Fe2Pd12 PBE relaxed
# V ... 16.64 Å³/atom
# Electronic total energy ... -5.221 eV per atom
# Energy of formation ... -4.82 eV/f.u.
data_Ga5Fe2Pd12
_cell_length_a 13.4433
_cell_length_b 5.6827
_cell_length_c 8.3223
_cell_angle_alpha 90.00
_cell_angle_beta 95.92
_cell_angle_gamma 90.00
_symmetry_space_group_name_H-M 'C 1 2/m 1'
_symmetry_Int_Tables_number 12
_symmetry_space_group_name_Hall '-C 2y'
loop_
_atom_site_label
_atom_site_type_symbol
_atom_site_fract_x
_atom_site_fract_y
_atom_site_fract_z
Ga1 Ga 0.0000 0.0000 0.0000
Ga2 Ga 0.1550 0.5000 0.3779
Ga3 Ga 0.2101 0.5000 0.8970
Fe1 Fe 0.0000 0.2995 0.5000
Pd1 Pd 0.0184 0.0000 0.7161
Pd2 Pd 0.0291 0.5000 0.7981
Pd3 Pd 0.1403 0.2554 0.1153
Pd4 Pd 0.1853 0.2504 0.6340

***

# Ca2Sn2Te PBE relaxed
# V ... 30.52 Å³/atom
# Electronic total energy ... -3.620 eV per atom
# Formation energy without anion corrections ... -0.590 eV/atom
# Energy above the most stable polymorph in this dataset ... 183 meV/atom
data_Ca2Sn2Te
_cell_length_a 8.2325
_cell_length_b 8.2325
_cell_length_c 4.5038
_cell_angle_alpha 90.00
_cell_angle_beta 90.00
_cell_angle_gamma 90.00
_symmetry_space_group_name_H-M 'P 4/m b m'
_symmetry_Int_Tables_number 127
_symmetry_space_group_name_Hall '-P 4 2ab'
loop_
_atom_site_label
_atom_site_type_symbol
_atom_site_fract_x
_atom_site_fract_y
_atom_site_fract_z
Ca1 Ca 0.1739 0.3261 0.0000
Sn1 Sn 0.1262 0.6262 0.5000
Te1 Te 0.0000 0.0000 0.5000

***

# Ni2OsW PBE relaxed
# V ... 13.30 Å³/atom
# Electronic total energy ... -8.810 eV per atom
# Energy of formation ... 0.51 eV/f.u.
# Energy above the most stable polymorph in this dataset ... 159 meV/atom
data_Ni2OsW
_cell_length_a 4.5308
_cell_length_b 2.7002
_cell_length_c 4.6119
_cell_angle_alpha 90.00
_cell_angle_beta 109.41
_cell_angle_gamma 90.00
_symmetry_space_group_name_H-M 'P 1 2/m 1'
_symmetry_Int_Tables_number 10
_symmetry_space_group_name_Hall '-P 2y'
loop_
_atom_site_label
_atom_site_type_symbol
_atom_site_fract_x
_atom_site_fract_y
_atom_site_fract_z
Ni1 Ni 0.0000 0.0000 0.0000
Ni2 Ni 0.0000 0.5000 0.5000
Os1 Os 0.5000 0.0000 0.5000
W1 W 0.5000 0.5000 0.0000

***

Copy entry 7 word for word.
# Ga3RhN PBE relaxed
# V ... 21.68 Å³/atom
# Electronic total energy ... -4.283 eV per atom
# Formation energy without anion corrections ... 0.668 eV/atom
# Energy above the most stable polymorph in this dataset ... 330 meV/atom
data_Ga3RhN
_cell_length_a 4.7681
_cell_length_b 4.7681
_cell_length_c 4.7681
_cell_angle_alpha 90.00
_cell_angle_beta 90.00
_cell_angle_gamma 90.00
_symmetry_space_group_name_H-M 'P m -3 m'
_symmetry_Int_Tables_number 221
_symmetry_space_group_name_Hall '-P 4 2 3'
loop_
_atom_site_label
_atom_site_type_symbol
_atom_site_fract_x
_atom_site_fract_y
_atom_site_fract_z
Ga1 Ga 0.0000 0.0000 0.5000
Rh1 Rh 0.0000 0.0000 0.0000
N1 N 0.5000 0.5000 0.5000